A plane-wave DFT calculation with PBE-GGA was carried out for a relaxed PmTm4Te5 crystal.

a b c (Å): 11.5530 11.5530 11.5530
angles (deg): 158.50 149.30 37.79
Fractional coordinates of all 10 atoms:
1 Pm 0.0000 0.0000 0.0000
2 Tm 0.2040 0.2040 0.0000
3 Tm 0.4026 0.4026 0.0000
4 Tm 0.5974 0.5974 0.0000
5 Tm 0.7960 0.7960 0.0000
6 Te 0.1062 0.6062 0.5000
7 Te 0.3028 0.8028 0.5000
8 Te 0.5000 0.0000 0.5000
9 Te 0.6972 0.1972 0.5000
10 Te 0.8938 0.3938 0.5000

**Space-group type**: No. 71
**Formation energy (no corrections)**: -1.2109 eV/atom
**Fermi-level density of states**: 6.0 states/eV/cell
**ΔE to the lowest computed polymorph**: 7 meV per atom
**V**: 288.2 Å³/cell
**Total magnetic moment**: 0.00 Bohr magnetons per cell
**Final energy**: -5.045 eV/atom
**Crystal system**: orthorhombic